A relaxed Re3TeAu crystal, computed with GGA-PBE.

```
data_Re3TeAu
_chemical_formula_sum 'Re3 Te1 Au1'
_cell_length_a 4.7972
_cell_length_b 4.7972
_cell_length_c 4.7972
_cell_angle_alpha 90.00
_cell_angle_beta 90.00
_cell_angle_gamma 90.00
_space_group_name_H-M_alt 'P 1'
_space_group_IT_number 1
loop_
_space_group_symop_operation_xyz
'x,y,z'
loop_
_atom_site_label
_atom_site_fract_x
_atom_site_fract_y
_atom_site_fract_z
_atom_site_occupancy
Re1 0.0000 0.0000 0.5000 1
Re2 0.0000 0.5000 0.0000 1
Re3 0.5000 0.0000 0.0000 1
Te1 0.0000 0.0000 0.0000 1
Au1 0.5000 0.5000 0.5000 1
```

Magnetic moment: 0.00 μB/atom
Formation energy from raw total energies: 2576 meV/atom
Space-group type: Pm-3m
D(E_F): 6.2 states/eV/cell